# 1
8
Lattice="6.591 0.000 -0.055 0.000 3.377 0.000 -1.705 0.000 5.627" Properties=species:S:1:pos:R:3 comment="MnNiPSe, relaxed, DFT PBE" n_ef_per_ev_fu=2.49 sg="Cm (8)" relative_energy_ev_per_atom=0.000 pbc="T T T"
P -0.054 0.000 0.887
P -0.907 1.688 3.700
Mn 0.179 0.000 5.058
Mn 1.032 1.688 2.244
Se 3.015 1.688 0.800
Se 2.162 0.000 3.613
Ni 5.243 1.688 1.469
Ni 4.390 0.000 4.282

***

# 2
8
Lattice="6.137 0.000 -0.006 0.000 2.949 0.000 -2.561 0.000 6.316" Properties=species:S:1:pos:R:3 comment="MnNiPSe, relaxed, DFT PBE" n_ef_per_ev_fu=3.09 sg="Cm (8)" relative_energy_ev_per_atom=0.209 pbc="T T T"
Se 0.883 1.474 6.097
Se 2.164 0.000 2.939
Ni 4.376 0.000 1.904
Ni 3.095 1.474 5.062
Mn -0.797 0.000 5.267
Mn 0.484 1.474 2.109
P 0.132 0.000 0.417
P -1.148 1.474 3.575

***

# 3
5
Lattice="-2.288 -3.689 1.706 3.081 -0.555 2.931 -2.300 2.790 2.946" Properties=species:S:1:pos:R:3 comment="Mn2NiPSe, relaxed, DFT PBE" n_ef_per_ev_fu=3.85 sg="P4/mmm (123)" pbc="T T T"
Se 0.000 0.000 0.000
P -0.754 -0.727 3.792
Ni 1.540 -0.278 1.466
Mn -1.150 1.395 1.473
Mn -1.144 -1.844 0.853

***

# 4
12
Lattice="3.272 0.000 0.000 -1.636 2.834 0.000 0.000 0.000 19.122" Properties=species:S:1:pos:R:3 comment="MnNiPSe, relaxed, DFT PBE" n_ef_per_ev_fu=2.10 sg="R3m (160)" relative_energy_ev_per_atom=0.042 pbc="T T T"
Se 1.636 0.945 9.596
Se 0.000 1.889 15.970
Se 0.000 0.000 3.222
Ni 0.000 1.889 13.637
Ni 1.636 0.945 7.263
Ni 0.000 0.000 0.889
P 0.000 1.889 18.860
P 0.000 0.000 6.112
P 1.636 0.945 12.486
Mn 0.000 0.000 17.480
Mn 0.000 1.889 11.106
Mn 1.636 0.945 4.732

***

# 5
8
Lattice="2.834 0.000 0.000 0.000 3.283 0.000 0.000 0.000 12.004" Properties=species:S:1:pos:R:3 comment="MnNiPSe, relaxed, DFT PBE" n_ef_per_ev_fu=1.97 sg="Amm2 (38)" relative_energy_ev_per_atom=0.156 pbc="T T T"
Ni 1.417 0.000 4.692
Ni 1.417 1.642 10.694
P 1.417 1.642 3.156
P 1.417 0.000 9.158
Se 1.417 0.000 0.394
Se 1.417 1.642 6.396
Mn 0.000 1.642 8.311
Mn 0.000 0.000 2.309

***

# 6
4
Lattice="3.022 0.000 -0.001 1.110 3.771 0.001 0.858 0.313 5.129" Properties=species:S:1:pos:R:3 comment="MnNiPSe, relaxed, DFT PBE" n_ef_per_ev_fu=1.72 sg="P1 (1)" relative_energy_ev_per_atom=0.201 pbc="T T T"
Ni 3.784 1.648 4.196
P 1.421 1.784 0.603
Se 4.361 3.530 2.788
Mn 2.864 3.416 0.892

***

# 7
4
Lattice="3.280 -0.001 0.005 -1.639 2.840 -0.014 -0.010 -1.886 6.130" Properties=species:S:1:pos:R:3 comment="MnNiPSe, relaxed, DFT PBE" n_ef_per_ev_fu=2.77 sg="Cm (8)" relative_energy_ev_per_atom=0.114 pbc="T T T"
Se 0.721 0.145 4.942
Mn -0.916 1.083 3.218
Ni 2.369 1.069 0.676
P 0.726 0.131 1.922

***

# 8
4
Lattice="3.249 0.000 0.000 0.000 3.247 0.000 0.000 0.000 6.084" Properties=species:S:1:pos:R:3 comment="MnNiPSe, relaxed, DFT PBE" n_ef_per_ev_fu=2.33 sg="P4mm (99)" relative_energy_ev_per_atom=0.156 pbc="T T T"
Se 0.000 0.000 3.487
Ni 1.625 1.624 4.372
P 1.625 1.624 0.526
Mn 0.000 0.000 5.893

***

# 9
8
Lattice="-3.882 2.186 -4.210 -0.107 -2.818 -1.365 -2.513 -2.893 6.169" Properties=species:S:1:pos:R:3 comment="MnNiPSe, relaxed, DFT PBE" n_ef_per_ev_fu=2.29 sg="Cm (8)" relative_energy_ev_per_atom=0.193 pbc="T T T"
Se -1.839 0.070 -0.001
Se -3.149 -2.785 2.402
Ni -3.743 -0.544 1.415
Ni -2.540 -0.506 -2.352
Mn -4.878 -1.011 -1.127
Mn -3.568 1.844 -3.530
P -5.469 -1.890 0.734
P -4.159 0.965 -1.668

***

# 10
8
Lattice="-5.473 -0.229 -0.379 -0.161 -0.828 2.821 2.265 6.927 2.162" Properties=species:S:1:pos:R:3 comment="MnNiPSe, relaxed, DFT PBE" n_ef_per_ev_fu=2.02 sg="Cm (8)" relative_energy_ev_per_atom=0.244 pbc="T T T"
P 1.946 6.132 1.910
P 0.733 2.254 2.240
Ni -4.585 -0.205 1.215
Ni -3.372 3.673 0.886
Se -0.827 5.011 2.960
Se -1.879 1.961 0.469
Mn -0.563 3.702 1.054
Mn -1.776 -0.175 1.384

***

# 11
8
Lattice="3.171 0.000 0.000 0.000 3.206 0.000 0.000 0.000 11.526" Properties=species:S:1:pos:R:3 comment="MnNiPSe, relaxed, DFT PBE" n_ef_per_ev_fu=2.21 sg="Amm2 (38)" relative_energy_ev_per_atom=0.066 pbc="T T T"
Mn 0.000 0.000 7.357
Mn 0.000 1.603 1.594
P 0.000 0.000 11.445
P 0.000 1.603 5.682
Se 1.586 1.603 8.559
Se 1.586 0.000 2.795
Ni 1.586 0.000 5.222
Ni 1.586 1.603 10.985

***

# 12
4
Lattice="3.698 0.000 0.000 0.000 3.650 0.000 0.000 0.000 5.693" Properties=species:S:1:pos:R:3 comment="MnNiPSe, relaxed, DFT PBE" n_ef_per_ev_fu=2.49 sg="Pmm2 (25)" relative_energy_ev_per_atom=0.097 pbc="T T T"
Se 0.000 0.000 3.721
P 1.849 1.825 1.028
Ni 1.849 0.000 2.278
Mn 0.000 1.825 2.257

***

| no. | ρ (g/cm³) | calculated total energy (eV per atom) |
| --- | --- | --- |
| 1 | 5.9 | -6.35 |
| 2 | 6.5 | -6.14 |
| 3 | 5.0 | -5.97 |
| 4 | 6.3 | -6.31 |
| 5 | 6.6 | -6.19 |
| 6 | 6.4 | -6.15 |
| 7 | 6.5 | -6.23 |
| 8 | 5.8 | -6.19 |
| 9 | 6.2 | -6.15 |
| 10 | 6.5 | -6.10 |
| 11 | 6.3 | -6.28 |
| 12 | 4.8 | -6.25 |